Entry 1:
Compound: SrAg2Pb
Source: Alexandria via LeMat-Bulk
Functional: PBE
Structure: relaxed

a = 9.3814 Å, b = 7.4808 Å, c = 6.1887 Å
α = 90.00°, β = 90.00°, γ = 90.00°
Space group Pnma (No. 62)
Asymmetric unit:
Sr 0.0502 0.2500 0.1488 x4
Ag 0.1955 0.0542 0.6025 x8
Pb 0.0967 0.7500 0.3534 x4

Values from the calculation:
size of the total moment: 0.000 μB/atom
energy of formation: -0.230 eV/atom
calculated density: 7.81 g/cm³
final energy: -48.058 eV/cell

***

Entry 2:
Compound: Sm2HPb
Source: Alexandria via LeMat-Bulk
Functional: PBE
Structure: relaxed

a = 4.6354 Å, b = 4.6354 Å, c = 8.8208 Å
α = 90.00°, β = 90.00°, γ = 90.00°
Space group P4/nmm (No. 129, origin choice 2)
Asymmetric unit:
Sm 0.2500 0.2500 0.1499 x2
Sm 0.2500 0.7500 0.5000 x2
H 0.2500 0.2500 0.4183 x2
Pb 0.2500 0.2500 0.7829 x2

Values from the calculation:
offset from the most stable computed form: 0.000 eV/atom
size of the total moment: 0.000 μB/atom
calculated density: 8.92 g/cm³
final energy: -37.621 eV/cell

***

Entry 3:
Compound: NaDy2F6
Source: Alexandria via LeMat-Bulk
Functional: PBE
Structure: relaxed

a = 3.9936 Å, b = 3.9936 Å, c = 16.3198 Å
α = 90.00°, β = 90.00°, γ = 90.00°
Space group I4/mmm (No. 139)
Asymmetric unit:
Na 0.0000 0.0000 0.0000 x2
Dy 0.0000 0.0000 0.3429 x4
F 0.0000 0.5000 0.0942 x8
F 0.0000 0.5000 0.2500 x4

Values from the calculation:
size of the total moment: 0.088 μB/atom
calculated density: 5.89 g/cm³
formation energy (no corrections): -3.5341 eV/atom
final energy: -107.115 eV/cell

***

Entry 4:
Compound: Tb3ErH
Source: Alexandria via LeMat-Bulk
Functional: PBE
Structure: relaxed

a = 4.9900 Å, b = 4.9900 Å, c = 4.9900 Å
α = 90.00°, β = 90.00°, γ = 90.00°
Space group Pm-3m (No. 221)
Asymmetric unit:
Tb 0.0000 0.0000 0.5000 x3
Er 0.5000 0.5000 0.5000 x1
H 0.0000 0.0000 0.0000 x1

Values from the calculation:
size of the total moment: 0.000 μB/atom
calculated density: 8.62 g/cm³
final energy: -22.631 eV/cell

***

Entry 5:
Compound: LiZn3O
Source: Alexandria via LeMat-Bulk
Functional: PBE
Structure: relaxed

a = 4.2518 Å, b = 4.2518 Å, c = 4.2518 Å
α = 90.00°, β = 90.00°, γ = 90.00°
Space group Pm-3m (No. 221)
Asymmetric unit:
Li 0.0000 0.0000 0.0000 x1
Zn 0.0000 0.5000 0.5000 x3
O 0.5000 0.5000 0.5000 x1

Values from the calculation:
offset from the most stable computed form: 0.000 eV/atom
size of the total moment: 0.000 μB/atom
calculated density: 4.73 g/cm³
formation energy (no corrections): -0.0849 eV/atom
final energy: -11.118 eV/cell

***

Entry 6:
Compound: SrTcW2
Source: Alexandria via LeMat-Bulk
Functional: PBE
Structure: relaxed

a = 3.8980 Å, b = 3.8980 Å, c = 9.9077 Å
α = 90.00°, β = 90.00°, γ = 90.00°
Space group I4/mmm (No. 139)
Asymmetric unit:
Sr 0.0000 0.0000 0.0000 x2
Tc 0.0000 0.0000 0.5000 x2
W 0.0000 0.5000 0.2500 x4

Values from the calculation:
offset from the most stable computed form: 0.662 eV/atom
size of the total moment: 0.000 μB/atom
energy of formation: 1.341 eV/atom
calculated density: 12.21 g/cm³
final energy: -65.179 eV/cell

***

Entry 7:
Compound: SmCdSnAu
Source: Alexandria via LeMat-Bulk
Functional: PBE
Structure: relaxed

a = 7.2631 Å, b = 7.2631 Å, c = 7.2631 Å
α = 90.00°, β = 90.00°, γ = 90.00°
Space group F-43m (No. 216)
Asymmetric unit:
Sm 0.0000 0.0000 0.0000 x4
Cd 0.0000 0.0000 0.5000 x4
Sn 0.2500 0.2500 0.7500 x4
Au 0.2500 0.2500 0.2500 x4

Values from the calculation:
size of the total moment: 0.000 μB/atom
energy of formation: -0.481 eV/atom
calculated density: 10.03 g/cm³
final energy: -59.358 eV/cell

***

Entry 8:
Compound: AcSn12Os4
Source: Alexandria via LeMat-Bulk
Functional: PBE
Structure: relaxed

a = 9.5653 Å, b = 9.5653 Å, c = 9.5653 Å
α = 90.00°, β = 90.00°, γ = 90.00°
Space group Im-3 (No. 204)
Asymmetric unit:
Ac 0.0000 0.0000 0.0000 x2
Sn 0.0000 0.1663 0.3357 x24
Os 0.2500 0.2500 0.2500 x8

Values from the calculation:
size of the total moment: 0.000 μB/atom
energy of formation: 0.116 eV/atom
calculated density: 9.15 g/cm³
final energy: -190.186 eV/cell

***

Q: Which value of final energy does entry 5 give?
A: -11.118 eV/cell